Below is ErTlPd2 after structural relaxation, with properties calculated at the PBE level.

Lattice parameters (Å, degrees): 3.5227 3.5227 6.5729 90.00 90.00 90.00
Sites, in units of the cell vectors:
Tl (0.5000, 0.5000, 0.5000)
Pd (0.0000, 0.0000, 0.7606)
Pd (0.0000, 0.0000, 0.2394)
Er (0.5000, 0.5000, 0.0000)

Properties
symmetry	P4/mmm, No. 123
formation energy from the elements	-590	meV per atom
density	11.90	g cm⁻³